1.
SrAs3W | GGA-PBE | optimized geometry

POSCAR file:
```
SrAs3W
1.0
5.269 0.000 0.000
0.000 5.269 0.000
0.000 0.000 5.269
Sr As W
1 3 1
Direct
0.000 0.000 0.000
0.000 0.500 0.000
0.000 0.000 0.500
0.500 0.000 0.000
0.500 0.500 0.500
```

Results
- Formation enthalpy at 0 K: 2.248 eV per atom
- Calculated volume: 29.25 Å³/atom

2.
SrAs2W | GGA-PBE | optimized geometry

POSCAR file:
```
SrAs2W
1.0
-0.518 0.939 4.718
-4.110 -1.180 2.265
-0.044 -3.630 3.199
Sr W As
1 1 2
Direct
0.000 0.000 0.000
0.500 0.500 0.500
0.750 0.750 0.750
0.250 0.250 0.250
```

Results
- Formation enthalpy at 0 K: 0.165 eV per atom
- Calculated volume: 20.02 Å³/atom

3.
SrAsW3 | GGA-PBE | optimized geometry

POSCAR file:
```
SrAsW3
1.0
4.842 0.000 0.000
0.000 4.842 0.000
0.000 0.000 4.842
W As Sr
3 1 1
Direct
0.000 0.500 0.000
0.000 0.000 0.500
0.500 0.000 0.000
0.500 0.500 0.500
0.000 0.000 0.000
```

Results
- Formation enthalpy at 0 K: 3.715 eV per atom
- Calculated volume: 22.71 Å³/atom

4.
SrAsW | GGA-PBE | optimized geometry

POSCAR file:
```
SrAsW
1.0
-1.660 3.598 -2.436
0.487 0.101 -4.625
-3.714 -0.564 -2.743
Sr As W
1 1 1
Direct
0.000 0.000 0.000
0.750 0.750 0.750
0.500 0.500 0.500
```

Results
- Formation enthalpy at 0 K: 0.777 eV per atom
- Calculated volume: 23.72 Å³/atom

5.
SrAs2W | GGA-PBE | optimized geometry

POSCAR file:
```
SrAs2W
1.0
9.284 -0.038 -0.022
8.699 3.242 -0.022
8.699 1.550 2.848
As Sr W
2 1 1
Direct
0.261 0.261 0.261
0.006 0.006 0.006
0.499 0.499 0.499
0.734 0.734 0.734
```

Results
- Formation enthalpy at 0 K: 0.502 eV per atom
- Calculated volume: 21.83 Å³/atom

6.
SrAs2W | GGA-PBE | optimized geometry

POSCAR file:
```
SrAs2W
1.0
5.823 0.001 0.001
1.474 5.633 -0.001
-2.404 -4.429 2.917
As Sr W
2 1 1
Direct
0.045 0.045 0.000
0.455 0.455 0.000
0.750 0.250 0.500
0.250 0.750 0.500
```

Results
- Formation enthalpy at 0 K: -0.057 eV per atom
- Calculated volume: 23.92 Å³/atom

7.
SrAs2W | GGA-PBE | optimized geometry

POSCAR file:
```
SrAs2W
1.0
7.374 0.010 0.006
6.380 3.697 0.006
6.380 1.720 3.272
As W Sr
2 1 1
Direct
0.016 0.016 0.016
0.484 0.484 0.484
0.750 0.750 0.750
0.250 0.250 0.250
```

Results
- Formation enthalpy at 0 K: -0.305 eV per atom
- Calculated volume: 22.20 Å³/atom

8.
SrAsW | GGA-PBE | optimized geometry

POSCAR file:
```
SrAsW
1.0
3.560 0.000 0.000
-1.780 3.083 0.000
0.000 0.000 6.443
As Sr W
1 1 1
Direct
0.000 0.000 0.957
0.667 0.333 0.314
0.333 0.667 0.730
```

Results
- Formation enthalpy at 0 K: 0.381 eV per atom
- Calculated volume: 23.57 Å³/atom

Record-wise total energy values, in eV/atom: -3.47 -5.82 -5.32 -5.65 -5.48 -6.04 -6.29 -6.05